# 1
This record from Alexandria describes a relaxed CaCe4Pm crystal. The functional is PBE-GGA.

Values from the calculation:
energy relative to the elements = 249 meV per atom

The structure in POSCAR format:
```
CaCe4Pm
1.0
-5.9991 -2.2585 0.8558
-3.1506 -2.7576 -4.9287
-1.0830 -6.3757 0.0168
Ca Ce Pm
1 4 1
direct
0.2500 0.2500 0.2500
0.6318 0.6318 0.1046
0.6318 0.1046 0.6318
0.6318 0.6318 0.6318
0.1046 0.6318 0.6318
0.0000 0.0000 0.0000
```

***

# 2
This record from Alexandria describes a relaxed CaCePmPr crystal. The functional is PBE-GGA.

Values from the calculation:
energy relative to the elements = 231 meV per atom

The structure in POSCAR format:
```
CaCePmPr
1.0
-5.2904 2.0409 -1.5197
-4.2821 0.3238 4.0028
-1.7998 5.2343 1.9561
Pr Ca Ce Pm
1 1 1 1
direct
0.5000 0.5000 0.5000
0.2500 0.2500 0.2500
0.7500 0.7500 0.7500
0.0000 0.0000 0.0000
```

***

# 3
This record from Alexandria describes a relaxed CaCePm2S4 crystal. The functional is PBE-GGA.

Values from the calculation:
energy relative to the elements, uncorrected = -2.04 eV/atom

The structure in POSCAR format:
```
CaCePm2S4
1.0
-0.4434 3.4971 1.9209
3.2440 -2.6683 5.6067
4.7261 2.9175 -4.2205
Ca Ce Pm S
1 1 2 4
direct
0.0000 0.0000 0.0000
0.5000 0.5000 0.0000
0.5000 0.0000 0.5000
0.0000 0.5000 0.5000
0.5000 0.2466 0.2460
0.5000 0.7534 0.7540
0.0000 0.2478 0.7527
0.0000 0.7522 0.2473
```

***

# 4
This record from Alexandria describes a relaxed Ca2CePmS4 crystal. The functional is PBE-GGA.

Values from the calculation:
energy relative to the elements, uncorrected = -2.04 eV/atom

The structure in POSCAR format:
```
Ca2CePmS4
1.0
-1.1628 -2.1039 -3.2106
-5.0347 -2.9558 3.7603
-2.5008 5.9161 -2.9711
Ca Ce Pm S
2 1 1 4
direct
0.5000 0.0000 0.5000
0.0000 0.5000 0.5000
0.5000 0.5000 0.0000
0.0000 0.0000 0.0000
0.5000 0.2511 0.2542
0.5000 0.7489 0.7458
0.0000 0.2476 0.7446
0.0000 0.7524 0.2554
```

***

# 5
This record from Alexandria describes a relaxed CaCePm2Sb4 crystal. The functional is PBE-GGA.

Values from the calculation:
energy relative to the elements, uncorrected = -1.07 eV/atom

The structure in POSCAR format:
```
CaCePm2Sb4
1.0
4.5032 0.0000 0.0000
0.0000 7.7599 0.1419
0.0000 -2.7064 7.3230
Ca Ce Pm Sb
1 1 2 4
direct
0.5000 0.5000 0.0000
0.0000 0.0000 0.0000
0.5000 0.0000 0.5000
0.0000 0.5000 0.5000
0.5000 0.2460 0.2477
0.5000 0.7540 0.7523
0.0000 0.2451 0.7507
0.0000 0.7549 0.2493
```

***

# 6
This record from Alexandria describes a relaxed Ca2CePmSb4 crystal. The functional is PBE-GGA.

Values from the calculation:
energy relative to the elements, uncorrected = -0.96 eV/atom

The structure in POSCAR format:
```
Ca2CePmSb4
1.0
-1.6507 -2.7291 -3.2186
-2.5385 -4.9875 5.5308
-5.5174 5.1973 -1.5773
Ca Ce Pm Sb
2 1 1 4
direct
0.5000 0.0000 0.5000
0.0000 0.5000 0.5000
0.0000 0.0000 0.0000
0.5000 0.5000 0.0000
0.5000 0.2434 0.2394
0.5000 0.7566 0.7606
0.0000 0.2497 0.7577
0.0000 0.7503 0.2423
```

***

# 7
This record from Alexandria describes a relaxed Ca3Ce2PmSe6 crystal. The functional is PBE-GGA.

Values from the calculation:
energy relative to the elements, uncorrected = -1.88 eV/atom

The structure in POSCAR format:
```
Ca3Ce2PmSe6
1.0
7.2391 0.0012 0.0017
-3.6167 6.2709 0.0017
-1.2071 -2.0900 6.9814
Ca Ce Pm Se
3 2 1 6
direct
0.1662 0.8338 0.5000
0.8338 0.1662 0.5000
0.5000 0.5000 0.5000
0.3333 0.6667 0.0000
0.6667 0.3333 0.0000
0.0000 0.0000 0.0000
0.9148 0.5822 0.7443
0.7526 0.7526 0.2555
0.0852 0.4178 0.2557
0.5822 0.9148 0.7443
0.2474 0.2474 0.7445
0.4178 0.0852 0.2557
```

***

# 8
This record from Alexandria describes a relaxed Ca2CePmSe4 crystal. The functional is PBE-GGA.

Values from the calculation:
energy relative to the elements, uncorrected = -1.88 eV/atom

The structure in POSCAR format:
```
Ca2CePmSe4
1.0
-4.1370 0.3680 -0.4382
-0.6226 -7.2027 -0.1712
-0.5367 2.3004 6.9984
Ca Ce Pm Se
2 1 1 4
direct
0.5000 0.0000 0.5000
0.0000 0.5000 0.5000
0.5000 0.5000 0.0000
0.0000 0.0000 0.0000
0.5000 0.2508 0.2547
0.5000 0.7492 0.7453
0.0000 0.2469 0.7439
0.0000 0.7531 0.2561
```

***

# 9
This record from Alexandria describes a relaxed CaCe2Pm3Se6 crystal. The functional is PBE-GGA.

Values from the calculation:
energy relative to the elements, uncorrected = -1.85 eV/atom

The structure in POSCAR format:
```
CaCe2Pm3Se6
1.0
7.2775 -0.0054 -0.0020
-3.6416 6.3009 -0.0020
-1.2148 -2.1035 6.8544
Ca Ce Pm Se
1 2 3 6
direct
0.0000 0.0000 0.0000
0.3340 0.6660 0.0000
0.6660 0.3340 0.0000
0.1660 0.8340 0.5000
0.8340 0.1660 0.5000
0.5000 0.5000 0.5000
0.9175 0.5874 0.7516
0.7531 0.7531 0.2475
0.0825 0.4126 0.2484
0.5874 0.9175 0.7516
0.2469 0.2469 0.7525
0.4126 0.0825 0.2484
```

***

# 10
This record from Alexandria describes a relaxed CaCe3Pm2Se6 crystal. The functional is PBE-GGA.

Values from the calculation:
energy relative to the elements, uncorrected = -1.85 eV/atom

The structure in POSCAR format:
```
CaCe3Pm2Se6
1.0
4.1852 0.0000 0.0000
0.0000 8.4489 0.2722
-2.0926 -2.4673 8.8484
Ca Ce Pm Se
1 3 2 6
direct
0.5000 0.0000 0.0000
0.5000 0.5000 0.0000
0.8322 0.1678 0.6644
0.1678 0.8322 0.3356
0.8310 0.6623 0.6621
0.1690 0.3377 0.3379
0.3358 0.9168 0.6717
0.6658 0.5828 0.3315
0.6642 0.0832 0.3283
0.0007 0.2452 0.0015
0.9993 0.7548 0.9985
0.3342 0.4172 0.6685
```

***

# 11
This record from Alexandria describes a relaxed CaCe2PmSe4 crystal. The functional is PBE-GGA.

Values from the calculation:
energy relative to the elements, uncorrected = -1.84 eV/atom

The structure in POSCAR format:
```
CaCe2PmSe4
1.0
4.1807 0.0000 0.0000
0.0000 7.3303 -0.1760
0.0000 2.5503 6.8144
Ca Ce Pm Se
1 2 1 4
direct
0.5000 0.5000 0.0000
0.0000 0.0000 0.0000
0.5000 0.0000 0.5000
0.0000 0.5000 0.5000
0.0000 0.7443 0.7544
0.0000 0.2557 0.2456
0.5000 0.7462 0.2482
0.5000 0.2538 0.7518
```

***

# 12
This record from Alexandria describes a relaxed Ca3Ce2PmTe6 crystal. The functional is PBE-GGA.

Values from the calculation:
energy relative to the elements, uncorrected = -1.48 eV/atom

The structure in POSCAR format:
```
Ca3Ce2PmTe6
1.0
-2.7062 -0.3268 -3.5309
-6.3929 -3.7552 5.2474
-0.4026 9.8699 2.2127
Ca Ce Pm Te
3 2 1 6
direct
0.5000 0.5000 0.0000
0.8335 0.1663 0.6670
0.1665 0.8337 0.3330
0.8331 0.6667 0.6663
0.1669 0.3333 0.3337
0.5000 0.0000 0.0000
0.3330 0.9207 0.6660
0.6651 0.5866 0.3302
0.6670 0.0793 0.3340
0.9988 0.2509 0.9976
0.0012 0.7491 0.0024
0.3349 0.4134 0.6698
```

***

# 13
This record from Alexandria describes a relaxed Ca2CePmTe4 crystal. The functional is PBE-GGA.

Values from the calculation:
energy relative to the elements, uncorrected = -1.48 eV/atom

The structure in POSCAR format:
```
Ca2CePmTe4
1.0
4.4586 0.0000 0.0000
0.0000 7.9068 -0.2225
0.0000 2.7173 7.2193
Ca Ce Pm Te
2 1 1 4
direct
0.0000 0.0000 0.0000
0.5000 0.0000 0.5000
0.5000 0.5000 0.0000
0.0000 0.5000 0.5000
0.0000 0.7552 0.7466
0.0000 0.2448 0.2533
0.5000 0.7538 0.2501
0.5000 0.2462 0.7499
```

***

# 14
This record from Alexandria describes a relaxed CaCe3Pm4Te8 crystal. The functional is PBE-GGA.

Values from the calculation:
energy relative to the elements, uncorrected = -1.42 eV/atom

The structure in POSCAR format:
```
CaCe3Pm4Te8
1.0
-4.6719 7.0000 -3.0695
-6.1936 -5.5777 -3.2931
2.2599 -0.4272 8.6579
Ca Ce Pm Te
1 3 4 8
direct
0.0000 0.5000 0.0000
0.5000 0.5000 0.0000
0.5000 0.5000 0.5000
0.0000 0.5000 0.5000
0.5000 0.0000 0.0000
0.5000 0.0000 0.5000
0.0000 0.0000 0.0000
0.0000 0.0000 0.5000
0.2484 0.7497 0.0013
0.2483 0.7497 0.4967
0.2494 0.2482 0.4988
0.7530 0.7497 0.0013
0.2470 0.2503 0.9987
0.7506 0.7518 0.5012
0.7517 0.2503 0.5033
0.7516 0.2503 0.9987
```

***

# 15
This record from Alexandria describes a relaxed CaCePm2Te4 crystal. The functional is PBE-GGA.

Values from the calculation:
energy relative to the elements, uncorrected = -1.44 eV/atom

The structure in POSCAR format:
```
CaCePm2Te4
1.0
4.4569 0.0000 0.0000
0.0000 7.8000 0.1629
0.0000 -2.6985 7.2654
Ca Ce Pm Te
1 1 2 4
direct
0.0000 0.0000 0.0000
0.5000 0.5000 0.0000
0.5000 0.0000 0.5000
0.0000 0.5000 0.5000
0.5000 0.2465 0.2479
0.5000 0.7535 0.7521
0.0000 0.2469 0.7503
0.0000 0.7531 0.2497
```

***

# 16
This record from Alexandria describes a relaxed CaCe2PmTl4 crystal. The functional is PBE-GGA.

Values from the calculation:
energy relative to the elements = -313 meV per atom

The structure in POSCAR format:
```
CaCe2PmTl4
1.0
-0.8535 -3.6466 -4.0193
2.5488 -4.8652 0.1184
-6.3621 -6.3529 3.3604
Ca Ce Pm Tl
1 2 1 4
direct
0.0000 0.0000 0.0000
0.7469 0.7469 0.7594
0.2531 0.2531 0.2406
0.5000 0.5000 0.5000
0.3760 0.3760 0.8720
0.8742 0.8742 0.3774
0.1258 0.1258 0.6226
0.6240 0.6240 0.1280
```

***

# 17
This record from Alexandria describes a relaxed CaCePmTl crystal. The functional is PBE-GGA.

Values from the calculation:
energy relative to the elements = 49 meV per atom

The structure in POSCAR format:
```
CaCePmTl
1.0
5.6050 0.0000 0.0000
2.8025 4.8540 0.0000
2.8025 1.6180 4.5764
Tl Ca Ce Pm
1 1 1 1
direct
0.0000 0.0000 0.0000
0.7500 0.7500 0.7500
0.2500 0.2500 0.2500
0.5000 0.5000 0.5000
```

***

# 18
This record from Alexandria describes a relaxed CaCePmTm crystal. The functional is PBE-GGA.

Values from the calculation:
energy relative to the elements = 243 meV per atom

The structure in POSCAR format:
```
CaCePmTm
1.0
5.7755 0.0000 0.0000
2.8877 5.0017 0.0000
2.8877 1.6672 4.7156
Ca Tm Ce Pm
1 1 1 1
direct
0.2500 0.2500 0.2500
0.5000 0.5000 0.5000
0.7500 0.7500 0.7500
0.0000 0.0000 0.0000
```

***

# 19
This record from Alexandria describes a relaxed CaCePr2 crystal. The functional is PBE-GGA.

Values from the calculation:
energy relative to the elements = 80 meV per atom
relative energy among the computed polymorphs = 1.23 kJ/mol of atoms

The structure in POSCAR format:
```
CaCePr2
1.0
-2.1570 0.2053 -2.9489
-3.6112 -0.4867 0.3370
-3.3606 11.8795 1.0146
Pr Ca Ce
2 1 1
direct
0.2553 0.2553 0.2342
0.7447 0.7447 0.7658
0.5000 0.5000 0.5000
0.0000 0.0000 0.0000
```

***

# 20
This record from Alexandria describes a relaxed CaCePr crystal. The functional is PBE-GGA.

Values from the calculation:
energy relative to the elements = 138 meV per atom
relative energy among the computed polymorphs = 2.39 kJ/mol of atoms

The structure in POSCAR format:
```
CaCePr
1.0
-1.7420 -2.2535 -2.2604
2.5405 -2.5378 0.5722
-4.6972 -0.5075 7.0508
Pr Ca Ce
1 1 1
direct
0.6759 0.6759 0.3518
0.9979 0.9979 0.9958
0.3262 0.3262 0.6524
```